The following is a PBE-GGA calculation of a geometry-optimized Sr3AgI structure, from the Alexandria database.

Properties
**SG**: Pm-3m (221)
**Crystal system**: cubic
**Raw formation energy**: -0.36 eV per atom

abc: 6.1947 6.1947 6.1947
angles: 90.00 90.00 90.00
Sites, in units of the cell vectors:
Sr 0.0000 0.0000 0.5000
Sr 0.0000 0.5000 0.0000
Sr 0.5000 0.0000 0.0000
Ag 0.0000 0.0000 0.0000
I 0.5000 0.5000 0.5000

***

The following is a PBE-GGA calculation of a geometry-optimized SrAg2I structure, from the Alexandria database.

Properties
**SG**: I-42d (122)
**Crystal system**: tetragonal
**Raw formation energy**: -0.22 eV per atom

abc: 7.1635 7.1635 7.1635
angles: 100.53 100.53 129.37
Sites, in units of the cell vectors:
Sr 0.0000 0.0000 0.0000
Sr 0.7500 0.2500 0.5000
Ag 0.1409 0.1250 0.5159
Ag 0.3750 0.8591 0.9841
Ag 0.6091 0.6250 0.4841
Ag 0.8750 0.3909 0.0159
I 0.2500 0.7500 0.5000
I 0.5000 0.5000 0.0000

***

The following is a PBE-GGA calculation of a geometry-optimized Sr2Ag2I7 structure, from the Alexandria database.

Properties
**SG**: C2/m (12)
**Crystal system**: monoclinic
**Raw formation energy**: -0.93 eV per atom

abc: 8.4735 8.4735 7.8854
angles: 93.46 93.46 113.39
Sites, in units of the cell vectors:
Sr 0.1824 0.8176 0.0000
Sr 0.8176 0.1824 0.0000
Ag 0.2297 0.2297 0.6416
Ag 0.7703 0.7703 0.3584
I 0.0737 0.4547 0.7553
I 0.0794 0.0794 0.2666
I 0.4547 0.0737 0.7553
I 0.5000 0.5000 0.5000
I 0.5453 0.9263 0.2447
I 0.9206 0.9206 0.7334
I 0.9263 0.5453 0.2447

***

The following is a PBE-GGA calculation of a geometry-optimized Sr2AgI structure, from the Alexandria database.

Properties
**SG**: R3m (160)
**Crystal system**: trigonal
**Raw formation energy**: -0.74 eV per atom

abc: 9.0571 9.0571 9.0571
angles: 29.06 29.06 29.06
Sites, in units of the cell vectors:
Sr 0.0000 0.0000 0.0000
Sr 0.1943 0.1943 0.1943
Ag 0.5962 0.5962 0.5962
I 0.7667 0.7667 0.7667